DFT (PBE+U) results for a relaxed structure of Rb3SrV2O8.

Computed properties:
Total energy   -87.75 eV per cell
Total moment   1.10 μB per formula unit

abc: 6.2783 6.2783 8.1269
angles: 90.00 90.00 120.00
With the nearest neighbours (Å) after each atom.
Fractional positions:
O 0.8181 0.1819 0.6872  1 V 1.75
O 0.6667 0.3333 0.9722  1 V 1.72
O 0.1819 0.3637 0.3128  1 V 1.75
Rb 0.6667 0.3333 0.3108  1 O 2.75
Rb 0.3333 0.6667 0.6892  1 O 2.75
O 0.3333 0.6667 0.0278  1 V 1.72
O 0.6363 0.8181 0.3128  1 V 1.75
Rb 0.0000 0.0000 0.0000  6 O 3.22
O 0.1819 0.8181 0.3128  1 V 1.75
O 0.8181 0.6363 0.6872  1 V 1.75
V 0.3333 0.6667 0.2398  4 O 1.72-1.75
V 0.6667 0.3333 0.7602  4 O 1.72-1.75
Sr 0.0000 0.0000 0.5000  6 O 2.50
O 0.3637 0.1819 0.6872  1 V 1.75